Entry from the Alexandria database: a relaxed structure of Nd2CoO (PBE+U).

Unit cell a=3.6811 b=3.6811 c=21.1583 alpha=90.00 beta=90.00 gamma=120.00
Space group R-3m (No. 166, hexagonal axes)
Unique sites:
Nd 0.0000 0.0000 0.2352 [6 per cell]
Co 0.0000 0.0000 0.0000 [3 per cell]
O 0.0000 0.0000 0.5000 [3 per cell]

Computed properties:
As for the total energy: -71.2 eV/cell. The density is 7.29 g cm⁻³.